Here is an optimized crystal structure of KMo2RhF from Alexandria via LeMat-Bulk. Energies are from PBE+U.

Results
- Space group: P4/mmm
- Raw total energy: -17.84 eV for the cell shown
- Crystal system: tetragonal
- Volume: 28.6 A^3/atom

a = 5.779 Å, b = 5.779 Å, c = 4.287 Å
α = 90.00°, β = 90.00°, γ = 90.00°
Sites, in units of the cell vectors:
K  0.000  0.000  0.000
Mo  0.000  0.500  0.000
Mo  0.500  0.000  0.000
Rh  0.500  0.500  0.500
F  0.000  0.000  0.500